(A)
The following is a DFT calculation (meta-GGA SCAN) of LiVO2F2 at its PBEsol-relaxed geometry.

Values from the calculation:
Its volume is 10.91 Å³/atom.

abc: 6.136 3.478 6.585
angles: 90.00 111.24 90.00
Fractional coordinates of all 12 atoms:
Li 0.161 0.000 0.201
Li 0.839 0.500 0.799
V 0.351 0.995 0.769
V 0.649 0.495 0.231
O 0.196 0.996 0.516
O 0.403 0.503 0.850
O 0.597 0.003 0.150
O 0.804 0.496 0.484
F 0.109 0.009 0.886
F 0.353 0.507 0.252
F 0.647 0.007 0.748
F 0.891 0.509 0.114

(B)
The following is a DFT calculation (meta-GGA SCAN) of LiVO2F2 at its PBEsol-relaxed geometry.

Values from the calculation:
Its volume is 11.91 Å³/atom.

abc: 9.166 5.203 5.994
angles: 90.00 90.00 90.00
Fractional coordinates of all 24 atoms:
Li 0.224 0.083 0.000
Li 0.276 0.083 0.500
Li 0.724 0.917 0.000
Li 0.776 0.917 0.500
V 0.081 0.614 0.714
V 0.419 0.614 0.214
V 0.581 0.386 0.714
V 0.919 0.386 0.214
O 0.011 0.441 0.449
O 0.221 0.800 0.764
O 0.279 0.800 0.264
O 0.489 0.441 0.949
O 0.511 0.559 0.449
O 0.721 0.200 0.764
O 0.779 0.200 0.264
O 0.989 0.559 0.949
F 0.032 0.128 0.099
F 0.193 0.309 0.727
F 0.307 0.309 0.227
F 0.468 0.128 0.599
F 0.532 0.872 0.099
F 0.693 0.691 0.727
F 0.807 0.691 0.227
F 0.968 0.872 0.599

Order of stability, best first: (A), (B)

(A)
The following is a DFT calculation (meta-GGA SCAN) of CaOsPt2 at its PBEsol-relaxed geometry.

Values from the calculation:
Its volume is 16.72 Å³/atom.

abc: 2.766 4.725 10.232
angles: 90.00 90.00 90.00
Fractional coordinates of all 8 atoms:
Ca 0.000 0.000 0.000
Ca 0.500 0.500 0.500
Os 0.000 0.500 0.776
Os 0.500 0.000 0.276
Pt 0.000 0.000 0.495
Pt 0.000 0.500 0.231
Pt 0.500 0.000 0.731
Pt 0.500 0.500 0.995

(B)
The following is a DFT calculation (meta-GGA SCAN) of CaOsPt2 at its PBEsol-relaxed geometry.

Values from the calculation:
Its volume is 16.41 Å³/atom.

abc: 9.522 2.767 5.046
angles: 90.00 99.08 90.00
Fractional coordinates of all 8 atoms:
Ca 0.000 0.000 0.000
Ca 0.500 0.500 0.000
Os 0.241 0.000 0.668
Os 0.741 0.500 0.668
Pt 0.002 0.500 0.516
Pt 0.254 0.500 0.222
Pt 0.502 0.000 0.516
Pt 0.754 0.000 0.222

Order of stability, best first: (B), (A)

(A)
The following is a DFT calculation (meta-GGA SCAN) of CoNi2Rh at its PBEsol-relaxed geometry.

Values from the calculation:
Its volume is 11.35 Å³/atom.

abc: 2.532 3.560 5.037
angles: 90.00 90.00 90.00
Fractional coordinates of all 4 atoms:
Co 0.000 0.000 0.000
Ni 0.500 0.500 0.238
Ni 0.500 0.500 0.762
Rh 0.000 0.000 0.500

(B)
The following is a DFT calculation (meta-GGA SCAN) of CoNi2Rh at its PBEsol-relaxed geometry.

Values from the calculation:
Its volume is 11.41 Å³/atom.

abc: 2.546 2.546 24.397
angles: 90.00 90.00 120.00
Fractional coordinates of all 12 atoms:
Co 0.000 0.000 0.000
Co 0.333 0.667 0.667
Co 0.667 0.333 0.333
Ni 0.000 0.000 0.494
Ni 0.000 0.000 0.746
Ni 0.333 0.667 0.161
Ni 0.333 0.667 0.413
Ni 0.667 0.333 0.080
Ni 0.667 0.333 0.827
Rh 0.000 0.000 0.248
Rh 0.333 0.667 0.914
Rh 0.667 0.333 0.581

Order of stability, best first: (A), (B)